## LaC (GGA-PBE)

Data for a geometry-optimized LaC structure.

Geometry as POSCAR:
```
LaC
1.0
-8.562 -2.058 -4.771
5.195 -3.258 -7.918
0.034 -4.134 1.723
La C
8 8
Cartesian
-2.251 -1.465 -3.471
-1.115 -3.851 -9.218
-4.795 -2.898 -6.860
1.428 -2.418 -5.829
-3.918 -6.190 -8.954
0.585 -3.260 -2.012
2.101 -5.565 -7.572
-5.434 -3.885 -3.394
0.957 -3.370 -8.106
-4.324 -1.946 -4.584
0.216 -1.629 -3.913
-3.583 -3.687 -8.776
-5.905 -4.838 -5.670
2.572 -4.613 -5.296
-1.450 -6.354 -9.396
-1.883 -3.096 -1.570
```

Calculated values
crystal system: tetragonal
formation energy: 579 meV per atom
uncorrected energy: -6.4971 eV per atom